# Sr2Zn2InRh5, optimized geometry, DFT PBE-GGA
data_Sr2Zn2InRh5
_cell_length_a 10.275
_cell_length_b 10.275
_cell_length_c 3.490
_cell_angle_alpha 90.00
_cell_angle_beta 90.00
_cell_angle_gamma 90.00
_space_group_name_H-M_alt 'P 4/m b m'
_space_group_IT_number 127
_space_group_name_Hall '-P 4 2ab'
loop_
_atom_site_label
_atom_site_type_symbol
_atom_site_fract_x
_atom_site_fract_y
_atom_site_fract_z
Sr1 Sr 0.176 0.324 0.000
Zn1 Zn 0.124 0.624 0.000
In1 In 0.000 0.000 0.000
Rh1 Rh 0.000 0.500 0.500
Rh2 Rh 0.061 0.796 0.500
# Energy of formation in eV/atom: -0.28
# Mass density in g/cm3: 8.432
# Magnetization in μB/f.u.: 0.0
# Energy in eV for the cell shown: -96.4
# V in Å³/cell: 368.4